# 1
RbI2Cl8: relaxed, PBE-GGA.

Computed properties:
Total magnetization = 0.0000 μB/atom
Density of states at the Fermi level = 4.349 states/eV/f.u.
Total DFT energy (no corrections) = -21.53 eV/cell
Raw formation energy = -0.244 eV/atom

abc: 9.0689 9.0689 6.3716
angles: 90.00 90.00 120.00
Closest atoms and distances in Å follow each position.
Space group P-3 (No. 147)
Symmetry-distinct sites (fractional):
Rb 0.0000 0.0000 0.0000 [1 per cell]  6 Cl 3.38
I 0.3333 0.6667 0.7086 [2 per cell]  3 Cl 2.44
Cl 0.1766 0.3556 0.7003 [6 per cell]  1 I 2.44
Cl 0.3333 0.6667 0.2057 [2 per cell]  2 I 3.17-3.20



# 2
Ac2Sn2H4Ir: relaxed, PBE-GGA.

Computed properties:
Total magnetization = 0.0000 μB/atom
Density of states at the Fermi level = 3.917 states/eV/f.u.
Total DFT energy (no corrections) = -81.07 eV/cell

abc: 6.4589 6.4589 8.2803
angles: 90.00 90.00 90.00
Closest atoms and distances in Å follow each position.
Space group I4/mmm (No. 139)
Symmetry-distinct sites (fractional):
Ac 0.0000 0.5000 0.2500 [4 per cell]  8 H 3.14, 4 Sn 3.30
Sn 0.0000 0.0000 0.1682 [4 per cell]  1 Ir 2.75, 1 Sn 2.79
H 0.1868 0.1868 0.5000 [8 per cell]  1 Ir 1.71
Ir 0.0000 0.0000 0.5000 [2 per cell]  4 H 1.71



# 3
LiEr2US5: relaxed, PBE-GGA.

Computed properties:
Total magnetization = 0.2940 μB/atom
Density of states at the Fermi level = 6.821 states/eV/f.u.
Total DFT energy (no corrections) = -230.42 eV/cell
Raw formation energy = -1.627 eV/atom

abc: 3.8398 16.1147 11.7972
angles: 90.00 90.00 90.00
Closest atoms and distances in Å follow each position.
Space group Cmc2_1 (No. 36)
Symmetry-distinct sites (fractional):
Li 0.0000 0.0159 0.0000 [4 per cell]  4 S 2.30-2.43
Er 0.0000 0.3743 0.8177 [4 per cell]  6 S 2.77-3.03
Er 0.0000 0.3915 0.2124 [4 per cell]  8 S 2.84-2.94
U 0.0000 0.3006 0.5289 [4 per cell]  6 S 2.59-2.73
S 0.0000 0.0019 0.3063 [4 per cell]  1 Li 2.30
S 0.0000 0.1334 0.5286 [4 per cell]  1 Li 2.43, 1 U 2.69
S 0.0000 0.1893 0.8651 [4 per cell]  2 U 2.73, 3 Er 2.94-3.03
S 0.0000 0.2123 0.1924 [4 per cell]  2 U 2.73, 3 Er 2.80-2.90
S 0.0000 0.4533 0.5985 [4 per cell]  2 Li 2.30



# 4
MnWCl: relaxed, PBE-GGA.

Computed properties:
Total magnetization = 0.9221 μB/atom
E above lowest polymorph = 0.52 eV/f.u.
Density of states at the Fermi level = 3.123 states/eV/f.u.
Total DFT energy (no corrections) = -44.82 eV/cell
Raw formation energy = 0.520 eV/atom

abc: 2.9345 2.9345 12.4184
angles: 90.00 90.00 90.00
Closest atoms and distances in Å follow each position.
Space group I4mm (No. 107)
Symmetry-distinct sites (fractional):
Mn 0.0000 0.0000 0.0000 [2 per cell]  4 W 2.60
W 0.0000 0.0000 0.6261 [2 per cell]  4 Mn 2.60, 4 Cl 2.73
Cl 0.0000 0.0000 0.2686 [2 per cell]  4 W 2.73, 4 Cl 2.93